# 1
# RbSrMg2Pt

Crystalline RbSrMg2Pt at its relaxed geometry (PBE, the Alexandria database).

Cell lengths 5.365, 5.365, 5.823 Å; angles 90.00, 90.00, 90.00 degrees
Fractional coordinates of all 5 atoms:
Pt (0.000, 0.000, 0.000)
Rb (0.500, 0.500, 0.500)
Mg (0.000, 0.500, 0.000)
Mg (0.500, 0.000, 0.000)
Sr (0.000, 0.000, 0.500)

Properties
**Formation energy**: -0.289 eV per atom
**Fermi-level density of states**: 2.06 states/eV/f.u.
**Symmetry**: No. 123

---

# 2
# Tm3CuAg2

Crystalline Tm3CuAg2 at its relaxed geometry (PBE, the Alexandria database).

Cell lengths 3.511, 3.511, 10.731 Å; angles 90.00, 90.00, 90.00 degrees
Fractional coordinates of all 6 atoms:
Cu (0.500, 0.500, 0.500)
Ag (0.500, 0.500, 0.171)
Tm (0.000, 0.000, 0.656)
Tm (0.000, 0.000, 0.000)
Tm (0.000, 0.000, 0.344)
Ag (0.500, 0.500, 0.829)

Properties
**Formation energy**: -0.322 eV per atom
**Fermi-level density of states**: 2.40 states/eV/f.u.
**Symmetry**: No. 123

---

What did the first record say?
# RbSrMg2Pt

Crystalline RbSrMg2Pt at its relaxed geometry (PBE, the Alexandria database).

Cell lengths 5.365, 5.365, 5.823 Å; angles 90.00, 90.00, 90.00 degrees
Fractional coordinates of all 5 atoms:
Pt (0.000, 0.000, 0.000)
Rb (0.500, 0.500, 0.500)
Mg (0.000, 0.500, 0.000)
Mg (0.500, 0.000, 0.000)
Sr (0.000, 0.000, 0.500)

Properties
**Formation energy**: -0.289 eV per atom
**Fermi-level density of states**: 2.06 states/eV/f.u.
**Symmetry**: No. 123

---

Question: What is the Fermi-level density of states in the first record?
Answer: 2.06 states/eV/f.u.